(1)
VASP calculation (PBE) on a relaxed NdYNiAu crystal.

Unit cell a=7.149 b=7.149 c=7.149 alpha=90.00 beta=90.00 gamma=90.00
Space group F-43m (No. 216)
Inequivalent atoms, fractional coordinates:
Nd 0.000 0.000 0.000 [4 per cell]
Y 0.000 0.000 0.500 [4 per cell]
Ni 0.250 0.250 0.750 [4 per cell]
Au 0.250 0.250 0.250 [4 per cell]

Properties
- Crystal system: cubic
- DFT formation energy: -0.515 eV/atom
- D(E_F): 10.9 states/eV/cell
- ΔE to the lowest computed polymorph: 0.25 eV/f.u.
- Calculated volume: 91 Å³/f.u.


(2)
VASP calculation (PBE) on a relaxed NdYNiAu crystal.

Unit cell a=4.619 b=3.873 c=10.527 alpha=90.00 beta=90.00 gamma=90.00
Space group Amm2 (No. 38)
Inequivalent atoms, fractional coordinates:
Nd 0.000 0.000 0.000 [2 per cell]
Y 0.500 0.000 0.720 [2 per cell]
Ni 0.000 0.000 0.277 [2 per cell]
Au 0.500 0.000 0.433 [2 per cell]

Properties
- Crystal system: orthorhombic
- DFT formation energy: -0.576 eV/atom
- D(E_F): 5.3 states/eV/cell
- ΔE to the lowest computed polymorph: 0.00 eV/f.u.
- Calculated volume: 94 Å³/f.u.


(3)
VASP calculation (PBE) on a relaxed Nd2Zn3Ni12Au crystal.

Unit cell a=6.0790 b=6.0790 c=26.3907 alpha=90.00 beta=90.00 gamma=120.00
Space group R-3m (No. 166, hexagonal axes)
Inequivalent atoms, fractional coordinates:
Nd 0.0000 0.0000 0.1393 [6 per cell]
Zn 0.0000 0.5000 0.0000 [9 per cell]
Ni 0.0568 0.5284 0.9002 [18 per cell]
Ni 0.0777 0.5389 0.6221 [18 per cell]
Au 0.0000 0.0000 0.5000 [3 per cell]

Properties
- Crystal system: trigonal
- DFT formation energy: 0.101 eV/atom
- D(E_F): 54.9 states/eV/cell
- Calculated volume: 282 Å³/f.u.


(4)
VASP calculation (PBE) on a relaxed NdNpAu2 crystal.

Unit cell a=3.633 b=3.633 c=7.470 alpha=90.00 beta=90.00 gamma=90.00
Space group P4/mmm (No. 123)
Inequivalent atoms, fractional coordinates:
Nd 0.000 0.000 0.000 [1 per cell]
Np 0.000 0.000 0.500 [1 per cell]
Au 0.500 0.500 0.255 [2 per cell]

Properties
- Crystal system: tetragonal
- DFT formation energy: -0.351 eV/atom
- D(E_F): 10.5 states/eV/cell
- Calculated volume: 99 Å³/f.u.


(5)
VASP calculation (PBE) on a relaxed Nd12Au3O5 crystal.

Unit cell a=15.958 b=15.958 c=15.958 alpha=90.00 beta=90.00 gamma=90.00
Space group Ia-3d (No. 230)
Inequivalent atoms, fractional coordinates:
Nd 0.037 0.053 0.649 [96 per cell]
Au 0.000 0.250 0.125 [24 per cell]
O 0.000 0.000 0.000 [16 per cell]
O 0.000 0.250 0.375 [24 per cell]

Properties
- Crystal system: cubic
- VASP energy: -982.824 eV per cell
- D(E_F): 161.8 states/eV/cell
- Calculated volume: 508 Å³/f.u.


(6)
VASP calculation (PBE) on a relaxed Nd2AuO2 crystal.

Unit cell a=4.039 b=4.039 c=12.518 alpha=90.00 beta=90.00 gamma=90.00
Space group I4/mmm (No. 139)
Inequivalent atoms, fractional coordinates:
Nd 0.000 0.000 0.156 [4 per cell]
Au 0.000 0.000 0.500 [2 per cell]
O 0.000 0.500 0.250 [4 per cell]

Properties
- Crystal system: tetragonal
- VASP energy: -70.345 eV per cell
- D(E_F): 3.5 states/eV/cell
- Calculated volume: 102 Å³/f.u.


(7)
VASP calculation (PBE) on a relaxed Nd5Au2O2 crystal.

Unit cell a=18.631 b=7.062 c=6.905 alpha=90.00 beta=90.00 gamma=90.00
Space group Ima2 (No. 46)
Inequivalent atoms, fractional coordinates:
Nd 0.017 0.244 0.000 [8 per cell]
Nd 0.141 0.567 0.773 [8 per cell]
Nd 0.250 0.128 0.858 [4 per cell]
Au 0.107 0.518 0.239 [8 per cell]
O 0.000 0.000 0.254 [4 per cell]
O 0.250 0.072 0.196 [4 per cell]

Properties
- Crystal system: orthorhombic
- VASP energy: -217.690 eV per cell
- D(E_F): 24.3 states/eV/cell
- Calculated volume: 227 Å³/f.u.


(8)
VASP calculation (PBE) on a relaxed NdAuO crystal.

Unit cell a=4.017 b=4.017 c=7.459 alpha=90.00 beta=90.00 gamma=90.00
Space group P4/nmm (No. 129, origin choice 2)
Inequivalent atoms, fractional coordinates:
Nd 0.250 0.250 0.160 [2 per cell]
Au 0.250 0.250 0.583 [2 per cell]
O 0.250 0.750 0.000 [2 per cell]

Properties
- Crystal system: tetragonal
- D(E_F): 0.5 states/eV/cell
- ΔE to the lowest computed polymorph: 0.00 eV/f.u.
- Calculated volume: 60 Å³/f.u.